(1)
This record from the Alexandria database describes an optimized crystal structure of MnPN2F. The functional is PBEsol.

E_form (uncorrected)	0.0833	eV per atom
M_tot	0.971	μB/atom

Cell: 3.5048 3.5048 3.8114 Å, 90.00 90.00 90.00°
With the nearest neighbours (Å) after each atom.
Atoms (fractional coordinates):
Mn  0.0000  0.0000  0.0000  4 F 2.48, 8 N 2.59
P  0.5000  0.5000  0.5000  4 N 1.75, 2 F 1.91
N  0.0000  0.5000  0.5000  2 P 1.75
N  0.5000  0.0000  0.5000  2 P 1.75
F  0.5000  0.5000  0.0000  2 P 1.91

---

(2)
This record from the Alexandria database describes an optimized crystal structure of MnRhNF2. The functional is PBEsol.

E_form (uncorrected)	-0.1987	eV per atom
M_tot	0.958	μB/atom

Cell: 4.2519 4.2519 3.6484 Å, 90.00 90.00 90.00°
With the nearest neighbours (Å) after each atom.
Atoms (fractional coordinates):
Mn  0.0000  0.0000  0.0000  8 F 2.80, 4 N 3.01
Rh  0.5000  0.5000  0.5000  2 N 1.82
N  0.5000  0.5000  0.0000  2 Rh 1.82
F  0.0000  0.5000  0.5000  2 Rh 2.13
F  0.5000  0.0000  0.5000  2 Rh 2.13

---

(3)
This record from the Alexandria database describes an optimized crystal structure of MnTlN2F. The functional is PBEsol.

E_form (uncorrected)	1.1717	eV per atom
M_tot	0.733	μB/atom

Cell: 4.2023 4.2023 4.3756 Å, 90.00 90.00 90.00°
With the nearest neighbours (Å) after each atom.
Atoms (fractional coordinates):
Mn  0.0000  0.0000  0.0000  4 F 2.97, 8 N 3.03
Tl  0.5000  0.5000  0.5000  4 N 2.10, 2 F 2.19
N  0.0000  0.5000  0.5000  2 Tl 2.10
N  0.5000  0.0000  0.5000  2 Tl 2.10
F  0.5000  0.5000  0.0000  2 Tl 2.19

---

(4)
This record from the Alexandria database describes an optimized crystal structure of Na4Zr2TiMnSi4O16F2. The functional is PBEsol.

E_form (uncorrected)	-2.7874	eV per atom
M_tot	0.167	μB/atom

Cell: 5.5917 7.1236 18.4426 Å, 90.00 102.58 90.00°
With the nearest neighbours (Å) after each atom.
Atoms (fractional coordinates):
Na  0.0000  0.1082  0.2500  2 F 2.22
Na  0.0000  0.8918  0.7500  2 F 2.22
Na  0.2036  0.1128  0.0703  1 F 2.22, 3 O 2.36-2.47
Na  0.2036  0.8872  0.5703  1 F 2.22, 3 O 2.36-2.47
Na  0.5000  0.3465  0.2500  2 F 2.35, 2 O 2.37
Na  0.5000  0.6535  0.7500  2 F 2.35, 2 O 2.37
Na  0.7964  0.1128  0.4297  1 F 2.22, 3 O 2.36-2.47
Na  0.7964  0.8872  0.9297  1 F 2.22, 3 O 2.36-2.47
Zr  0.1979  0.3786  0.5747  5 O 2.01-2.21
Zr  0.1979  0.6214  0.0747  5 O 2.01-2.21
Zr  0.8021  0.3786  0.9253  5 O 2.01-2.21
Zr  0.8021  0.6214  0.4253  5 O 2.01-2.21
Ti  0.0000  0.3893  0.7500  6 O 1.91-2.02
Ti  0.0000  0.6107  0.2500  6 O 1.91-2.02
Mn  0.5000  0.1546  0.7500  2 F 2.11, 4 O 2.14-2.27
Mn  0.5000  0.8454  0.2500  2 F 2.11, 4 O 2.14-2.27
Si  0.2779  0.1142  0.8957  4 O 1.62-1.64
Si  0.2779  0.8858  0.3957  4 O 1.62-1.64
Si  0.2796  0.3425  0.3951  4 O 1.61-1.64
Si  0.2796  0.6575  0.8951  4 O 1.61-1.64
Si  0.7204  0.3425  0.1049  4 O 1.61-1.64
Si  0.7204  0.6575  0.6049  4 O 1.61-1.64
Si  0.7221  0.1142  0.6043  4 O 1.62-1.64
Si  0.7221  0.8858  0.1043  4 O 1.62-1.64
O  0.0760  0.1759  0.9422  1 Si 1.62
O  0.0760  0.8241  0.4422  1 Si 1.62
O  0.0982  0.4108  0.4492  1 Si 1.64
O  0.0982  0.5892  0.9492  1 Si 1.64
O  0.1771  0.4159  0.3104  1 Si 1.63
O  0.1771  0.5841  0.8104  1 Si 1.63
O  0.2146  0.1903  0.8096  1 Si 1.64
O  0.2146  0.8097  0.3096  1 Si 1.64
O  0.2333  0.3670  0.6854  1 Ti 1.95, 1 Zr 2.01
O  0.2333  0.6330  0.1854  1 Ti 1.95, 1 Zr 2.01
O  0.2607  0.1145  0.3892  2 Si 1.63
O  0.2607  0.8855  0.8892  2 Si 1.63
O  0.4367  0.4026  0.0778  1 Si 1.61
O  0.4367  0.5974  0.5778  1 Si 1.61
O  0.4437  0.1753  0.5647  1 Si 1.63
O  0.4437  0.8247  0.0647  1 Si 1.63
O  0.5563  0.1753  0.9353  1 Si 1.63
O  0.5563  0.8247  0.4353  1 Si 1.63
O  0.5633  0.4026  0.4222  1 Si 1.61
O  0.5633  0.5974  0.9222  1 Si 1.61
O  0.7393  0.1145  0.1108  2 Si 1.63
O  0.7393  0.8855  0.6108  2 Si 1.63
O  0.7667  0.3670  0.8146  1 Ti 1.95, 1 Zr 2.01
O  0.7667  0.6330  0.3146  1 Ti 1.95, 1 Zr 2.01
O  0.7854  0.1903  0.6904  1 Si 1.64
O  0.7854  0.8097  0.1904  1 Si 1.64
O  0.8229  0.4159  0.1896  1 Si 1.63
O  0.8229  0.5841  0.6896  1 Si 1.63
O  0.9018  0.4108  0.0508  1 Si 1.64
O  0.9018  0.5892  0.5508  1 Si 1.64
O  0.9240  0.1759  0.5578  1 Si 1.62
O  0.9240  0.8241  0.0578  1 Si 1.62
F  0.3072  0.0753  0.1927  1 Mn 2.11, 3 Na 2.22-2.35
F  0.3072  0.9247  0.6927  1 Mn 2.11, 3 Na 2.22-2.35
F  0.6928  0.0753  0.3073  1 Mn 2.11, 3 Na 2.22-2.35
F  0.6928  0.9247  0.8073  1 Mn 2.11, 3 Na 2.22-2.35

---

(5)
This record from the Alexandria database describes an optimized crystal structure of Rb2NaMnF6. The functional is PBEsol.

E_form (uncorrected)	-2.7033	eV per atom
M_tot	0.400	μB/atom

Cell: 5.9510 5.9510 5.9510 Å, 60.00 60.00 60.00°
With the nearest neighbours (Å) after each atom.
Atoms (fractional coordinates):
Rb  0.2500  0.2500  0.2500  12 F 2.98
Rb  0.7500  0.7500  0.7500  12 F 2.98
Na  0.0000  0.0000  0.0000  6 F 2.27
Mn  0.5000  0.5000  0.5000  6 F 1.94
F  0.2700  0.2700  0.7300  1 Mn 1.94
F  0.2700  0.7300  0.2700  1 Mn 1.94
F  0.2700  0.7300  0.7300  1 Mn 1.94
F  0.7300  0.2700  0.2700  1 Mn 1.94
F  0.7300  0.2700  0.7300  1 Mn 1.94
F  0.7300  0.7300  0.2700  1 Mn 1.94

---

(6)
This record from the Alexandria database describes an optimized crystal structure of MnNiOF2. The functional is PBEsol.

excess energy over the best structure of this formula in the dataset	0.00	kJ per mole of atoms
E_form (uncorrected)	-1.0140	eV per atom
M_tot	1.032	μB/atom

Cell: 3.8718 3.8718 3.7730 Å, 90.00 90.00 90.00°
With the nearest neighbours (Å) after each atom.
Atoms (fractional coordinates):
Mn  0.0000  0.0000  0.0000  2 O 1.89, 4 F 1.94
Ni  0.5000  0.5000  0.5000  8 F 2.70, 4 O 2.74
O  0.0000  0.0000  0.5000  2 Mn 1.89
F  0.0000  0.5000  0.0000  2 Mn 1.94
F  0.5000  0.0000  0.0000  2 Mn 1.94

---

(7)
This record from the Alexandria database describes an optimized crystal structure of MnNiOF2. The functional is PBEsol.

excess energy over the best structure of this formula in the dataset	2.30	kJ per mole of atoms
E_form (uncorrected)	-0.9902	eV per atom
M_tot	1.024	μB/atom

Cell: 3.7639 3.7639 3.8359 Å, 90.00 90.00 90.00°
With the nearest neighbours (Å) after each atom.
Atoms (fractional coordinates):
Mn  0.0000  0.0000  0.0000  4 O 2.66, 8 F 2.69
Ni  0.5000  0.5000  0.5000  4 F 1.88, 2 O 1.92
O  0.5000  0.5000  0.0000  2 Ni 1.92
F  0.0000  0.5000  0.5000  2 Ni 1.88
F  0.5000  0.0000  0.5000  2 Ni 1.88

---

(8)
This record from the Alexandria database describes an optimized crystal structure of Mn6O7F5. The functional is PBEsol.

excess energy over the best structure of this formula in the dataset	0.00	kJ per mole of atoms
E_form (uncorrected)	-1.8847	eV per atom
M_tot	0.359	μB/atom

Cell: 8.7132 4.6757 4.6757 Å, 81.90 90.00 90.00°
With the nearest neighbours (Å) after each atom.
Atoms (fractional coordinates):
Mn  0.0000  0.0000  0.0000  5 O 1.88-2.06
Mn  0.1589  0.4594  0.4594  3 O 1.82-1.86, 3 F 1.95-1.97
Mn  0.3326  0.9646  0.9646  4 O 1.90
Mn  0.5000  0.4678  0.4678  2 O 1.85, 4 F 2.04-2.05
Mn  0.6674  0.9646  0.9646  4 O 1.90
Mn  0.8411  0.4594  0.4594  3 O 1.82-1.86, 3 F 1.95-1.97
O  0.0000  0.2911  0.2911  2 Mn 1.82
O  0.1641  0.1695  0.7764  3 Mn 1.86-1.90
O  0.1641  0.7764  0.1695  3 Mn 1.86-1.90
O  0.5000  0.1620  0.7659  3 Mn 1.85-1.90
O  0.5000  0.7659  0.1620  3 Mn 1.85-1.90
O  0.8359  0.1695  0.7764  3 Mn 1.86-1.90
O  0.8359  0.7764  0.1695  3 Mn 1.86-1.90
F  0.0000  0.6586  0.6586  2 Mn 1.97
F  0.3214  0.6544  0.6544  3 Mn 1.97-2.19
F  0.3245  0.2739  0.2739  2 Mn 1.95-2.05
F  0.6755  0.2739  0.2739  2 Mn 1.95-2.05
F  0.6786  0.6544  0.6544  3 Mn 1.97-2.19

---

(9)
This record from the Alexandria database describes an optimized crystal structure of Mn6OF11. The functional is PBEsol.

excess energy over the best structure of this formula in the dataset	0.18	kJ per mole of atoms
E_form (uncorrected)	-2.1722	eV per atom
M_tot	1.611	μB/atom

Cell: 9.7705 4.8027 4.8027 Å, 91.22 90.00 90.00°
With the nearest neighbours (Å) after each atom.
Atoms (fractional coordinates):
Mn  0.0000  0.0000  0.0000  1 O 1.89, 5 F 2.05-2.11
Mn  0.1549  0.5369  0.5369  1 O 1.94, 5 F 2.09-2.17
Mn  0.3310  0.0333  0.0333  6 F 2.06-2.12
Mn  0.5000  0.5293  0.5293  6 F 2.10-2.13
Mn  0.6690  0.0333  0.0333  6 F 2.06-2.12
Mn  0.8451  0.5369  0.5369  1 O 1.94, 5 F 2.09-2.17
O  0.0000  0.7182  0.7182  3 Mn 1.89-1.94
F  0.0000  0.3050  0.3050  3 Mn 2.05-2.17
F  0.1651  0.2173  0.8239  3 Mn 2.09-2.11
F  0.1651  0.8239  0.2173  3 Mn 2.09-2.11
F  0.3237  0.3419  0.3419  3 Mn 2.08-2.13
F  0.3327  0.7260  0.7260  3 Mn 2.06-2.15
F  0.5000  0.2315  0.8425  3 Mn 2.10-2.12
F  0.5000  0.8425  0.2315  3 Mn 2.10-2.12
F  0.6673  0.7260  0.7260  3 Mn 2.06-2.15
F  0.6763  0.3419  0.3419  3 Mn 2.08-2.13
F  0.8349  0.2173  0.8239  3 Mn 2.09-2.11
F  0.8349  0.8239  0.2173  3 Mn 2.09-2.11

---

(10)
This record from the Alexandria database describes an optimized crystal structure of Mn2O3F. The functional is PBEsol.

excess energy over the best structure of this formula in the dataset	0.44	kJ per mole of atoms
E_form (uncorrected)	-1.7686	eV per atom
M_tot	1.170	μB/atom

Cell: 4.4971 4.4971 11.7345 Å, 90.00 90.00 92.84°
With the nearest neighbours (Å) after each atom.
Atoms (fractional coordinates):
Mn  0.0000  0.0000  0.0000  4 O 1.90-1.91, 2 F 2.08
Mn  0.0000  0.0000  0.5000  4 O 1.90-1.91, 2 F 2.08
Mn  0.0112  0.9888  0.7500  4 O 1.86-1.89, 2 F 2.02
Mn  0.4764  0.5236  0.6251  5 O 1.89-1.91, 1 F 2.02
Mn  0.4764  0.5236  0.8749  5 O 1.89-1.91, 1 F 2.02
Mn  0.5236  0.4764  0.1251  5 O 1.89-1.91, 1 F 2.02
Mn  0.5236  0.4764  0.3749  5 O 1.89-1.91, 1 F 2.02
Mn  0.9888  0.0112  0.2500  4 O 1.86-1.89, 2 F 2.02
O  0.1870  0.8130  0.6255  3 Mn 1.86-1.91
O  0.1870  0.8130  0.8745  3 Mn 1.86-1.91
O  0.2892  0.3179  0.7500  3 Mn 1.89-1.91
O  0.3063  0.3063  0.0000  3 Mn 1.90
O  0.3063  0.3063  0.5000  3 Mn 1.90
O  0.3179  0.2892  0.2500  3 Mn 1.89-1.91
O  0.6821  0.7108  0.7500  3 Mn 1.89-1.91
O  0.6937  0.6937  0.0000  3 Mn 1.90
O  0.6937  0.6937  0.5000  3 Mn 1.90
O  0.7108  0.6821  0.2500  3 Mn 1.89-1.91
O  0.8130  0.1870  0.1255  3 Mn 1.86-1.91
O  0.8130  0.1870  0.3745  3 Mn 1.86-1.91
F  0.2132  0.7868  0.1314  3 Mn 2.02-2.08
F  0.2132  0.7868  0.3686  3 Mn 2.02-2.08
F  0.7868  0.2132  0.6314  3 Mn 2.02-2.08
F  0.7868  0.2132  0.8686  3 Mn 2.02-2.08

---

(11)
This record from the Alexandria database describes an optimized crystal structure of Mn6O7F5. The functional is PBEsol.

excess energy over the best structure of this formula in the dataset	2.06	kJ per mole of atoms
E_form (uncorrected)	-1.8634	eV per atom
M_tot	1.278	μB/atom

Cell: 4.5709 4.5709 8.9829 Å, 90.18 90.18 86.55°
With the nearest neighbours (Å) after each atom.
Atoms (fractional coordinates):
Mn  0.0000  0.0000  0.0000  3 O 1.85-1.92, 1 F 1.98
Mn  0.0205  0.9627  0.3244  3 O 1.87-1.91, 2 F 1.98-2.07
Mn  0.0373  0.9795  0.6756  3 O 1.87-1.91, 2 F 1.98-2.07
Mn  0.5041  0.4428  0.8253  4 O 1.88-1.92, 2 F 2.03-2.07
Mn  0.5287  0.4713  0.5000  4 O 1.94, 2 F 2.06
Mn  0.5572  0.4959  0.1747  4 O 1.88-1.92, 2 F 2.03-2.07
O  0.2068  0.1643  0.8382  3 Mn 1.87-1.92
O  0.3209  0.6548  0.6670  3 Mn 1.89-1.94
O  0.3452  0.6791  0.3330  3 Mn 1.89-1.94
O  0.7049  0.2951  0.0000  3 Mn 1.85-1.92
O  0.7131  0.2640  0.6666  3 Mn 1.88-1.94
O  0.7360  0.2869  0.3334  3 Mn 1.88-1.94
O  0.8357  0.7932  0.1618  3 Mn 1.87-1.92
F  0.2194  0.1622  0.4894  3 Mn 1.98-2.07
F  0.2437  0.2011  0.1638  3 Mn 2.03-2.11
F  0.3164  0.6836  0.0000  3 Mn 1.98-2.07
F  0.7989  0.7563  0.8362  3 Mn 2.03-2.11
F  0.8378  0.7806  0.5106  3 Mn 1.98-2.07

---

(12)
This record from the Alexandria database describes an optimized crystal structure of Mn2OF3. The functional is PBEsol.

excess energy over the best structure of this formula in the dataset	4.82	kJ per mole of atoms
E_form (uncorrected)	-2.0296	eV per atom
M_tot	1.500	μB/atom

Cell: 3.1145 4.9448 10.0619 Å, 90.00 90.00 90.00°
With the nearest neighbours (Å) after each atom.
Atoms (fractional coordinates):
Mn  0.0000  0.1878  0.0000  1 O 1.89, 5 F 2.07-2.09
Mn  0.0000  0.8122  0.5000  1 O 1.89, 5 F 2.07-2.09
Mn  0.5000  0.2467  0.2890  2 O 1.93, 3 F 2.12
Mn  0.5000  0.7533  0.7890  2 O 1.93, 3 F 2.12
O  0.0000  0.0842  0.3683  3 Mn 1.89-1.93
O  0.0000  0.9158  0.8683  3 Mn 1.89-1.93
F  0.0000  0.4176  0.1725  3 Mn 2.07-2.12
F  0.0000  0.5824  0.6725  3 Mn 2.07-2.12
F  0.5000  0.0175  0.1066  3 Mn 2.07-2.16
F  0.5000  0.4086  0.9144  3 Mn 2.09-2.12
F  0.5000  0.5914  0.4144  3 Mn 2.09-2.12
F  0.5000  0.9825  0.6066  3 Mn 2.07-2.16

---

Final energy (computed, eV per cell): -34.12, -31.27, -25.51, -472.63, -51.81, -30.09, -29.97, -138.87, -124.12, -191.24, -138.49, -85.46